The following is a DFT calculation (PBE) of a relaxed structure of DyNpIr4.

Results
Space-group type = F-43m, No. 216
Theoretical density = 17.91 Mg/m³
DOS at the Fermi energy = 1.4181 states/eV/atom
ΔE_f = -0.6043 eV per atom

a = 5.351 Å, b = 5.351 Å, c = 5.351 Å
α = 60.00°, β = 60.00°, γ = 60.00°
Atoms (fractional coordinates):
1 Dy 0.000 0.000 0.000
2 Np 0.250 0.250 0.250
3 Ir 0.125 0.625 0.625
4 Ir 0.625 0.125 0.625
5 Ir 0.625 0.625 0.125
6 Ir 0.625 0.625 0.625